1.
{
  "formula": "Sr2AlBiPd6",
  "functional": "PBE-GGA",
  "state": "relaxed",
  "cell": [[6.722, 0.000, 0.000], [3.170, 5.966, 0.000], [3.162, 1.889, 5.688]],
  "species": ["Sr", "Sr", "Al", "Bi", "Pd", "Pd", "Pd", "Pd", "Pd", "Pd"],
  "fractional_positions": [[0.212, 0.210, 0.212], [0.788, 0.790, 0.788], [0.500, 0.500, 0.500], [0.000, 0.000, 0.000], [0.176, 0.337, 0.626], [0.338, 0.625, 0.176], [0.371, 0.825, 0.662], [0.629, 0.175, 0.338], [0.662, 0.375, 0.824], [0.824, 0.663, 0.374]],
  "delta_e_f_ev_per_atom": -0.525,
  "dos_at_fermi_per_ev_cell": 4.54
}

2.
{
  "formula": "AlTc2BiPd",
  "functional": "PBE-GGA",
  "state": "relaxed",
  "cell": [[4.660, 0.000, 0.000], [0.000, 4.660, 0.000], [0.000, 0.000, 4.567]],
  "species": ["Al", "Tc", "Tc", "Bi", "Pd"],
  "fractional_positions": [[0.000, 0.000, 0.000], [0.000, 0.500, 0.000], [0.500, 0.000, 0.000], [0.500, 0.500, 0.500], [0.000, 0.000, 0.500]],
  "delta_e_f_ev_per_atom": 0.833,
  "dos_at_fermi_per_ev_cell": 5.23
}

3.
{
  "formula": "TiAl2BiPd",
  "functional": "PBE-GGA",
  "state": "relaxed",
  "cell": [[4.964, 0.000, 0.000], [0.000, 4.964, 0.000], [0.000, 0.000, 5.209]],
  "species": ["Ti", "Al", "Al", "Bi", "Pd"],
  "fractional_positions": [[0.000, 0.000, 0.000], [0.000, 0.500, 0.000], [0.500, 0.000, 0.000], [0.000, 0.000, 0.500], [0.500, 0.500, 0.500]],
  "polymorph_energy_mev_per_atom": 164,
  "delta_e_f_ev_per_atom": 0.703,
  "dos_at_fermi_per_ev_cell": 4.09
}

4.
{
  "formula": "TiAl2BiPd",
  "functional": "PBE-GGA",
  "state": "relaxed",
  "cell": [[4.997, 0.000, 0.000], [0.000, 4.997, 0.000], [0.000, 0.000, 4.720]],
  "species": ["Ti", "Al", "Al", "Bi", "Pd"],
  "fractional_positions": [[0.000, 0.000, 0.000], [0.000, 0.500, 0.000], [0.500, 0.000, 0.000], [0.500, 0.500, 0.500], [0.000, 0.000, 0.500]],
  "polymorph_energy_mev_per_atom": 0,
  "delta_e_f_ev_per_atom": 0.539,
  "dos_at_fermi_per_ev_cell": 4.76
}